Density functional theory data (SCAN) for a PBEsol-optimized structure of TiCuHg2.

Lattice parameters (Å, degrees): 4.565 4.565 4.565 60.00 60.00 60.00
Element x y z (fractional)
Ti 0.000 0.000 0.000
Cu 0.500 0.500 0.500
Hg 0.250 0.250 0.250
Hg 0.750 0.750 0.750

## Properties
total DFT energy (no corrections): -41.88 eV/atom
space-group type: No. 225

---

Density functional theory data (SCAN) for a PBEsol-optimized structure of CsNaZr2Cd.

Lattice parameters (Å, degrees): 5.251 5.251 5.984 90.00 90.00 90.00
Element x y z (fractional)
Cs 0.000 0.000 0.000
Na 0.500 0.500 0.500
Zr 0.000 0.500 0.000
Zr 0.500 0.000 0.000
Cd 0.000 0.000 0.500

## Properties
total DFT energy (no corrections): -24.96 eV/atom
space-group type: No. 123

---

Density functional theory data (SCAN) for a PBEsol-optimized structure of GaNiIN2.

Lattice parameters (Å, degrees): 3.898 3.898 5.731 90.00 90.00 90.00
Element x y z (fractional)
Ga 0.000 0.000 0.000
Ni 0.500 0.500 0.000
I 0.000 0.000 0.500
N 0.000 0.500 0.500
N 0.500 0.000 0.500

## Properties
total DFT energy (no corrections): -15.46 eV/atom
space-group type: No. 123
excess energy over the best structure of this formula in the dataset: 4.50 eV/f.u.
energy relative to the elements, uncorrected: 2109 meV/atom

---

Density functional theory data (SCAN) for a PBEsol-optimized structure of Mo3W.

Lattice parameters (Å, degrees): 6.265 6.265 6.266 90.01 90.01 89.98
Element x y z (fractional)
Mo 0.000 0.000 0.000
Mo 0.000 0.000 0.500
Mo 0.000 0.500 0.000
Mo 0.000 0.500 0.500
Mo 0.250 0.750 0.250
Mo 0.250 0.750 0.750
Mo 0.500 0.000 0.000
Mo 0.500 0.000 0.500
Mo 0.500 0.500 0.000
Mo 0.750 0.250 0.250
Mo 0.750 0.250 0.750
Mo 0.750 0.750 0.750
W 0.249 0.249 0.250
W 0.250 0.250 0.751
W 0.500 0.500 0.501
W 0.750 0.750 0.250

## Properties
total DFT energy (no corrections): -43.59 eV/atom
space-group type: No. 8
excess energy over the best structure of this formula in the dataset: 0.02 eV/f.u.

---

Density functional theory data (SCAN) for a PBEsol-optimized structure of CuMo2RuCl.

Lattice parameters (Å, degrees): 4.520 4.520 4.488 90.00 90.00 90.00
Element x y z (fractional)
Cu 0.000 0.000 0.000
Mo 0.000 0.500 0.000
Mo 0.500 0.000 0.000
Ru 0.000 0.000 0.500
Cl 0.500 0.500 0.500

## Properties
total DFT energy (no corrections): -23.56 eV/atom
space-group type: No. 123
energy relative to the elements, uncorrected: 1995 meV/atom

---

Density functional theory data (SCAN) for a PBEsol-optimized structure of CsCrMo2O8.

Lattice parameters (Å, degrees): 5.641 5.641 7.914 90.00 90.00 120.00
Element x y z (fractional)
Cs 0.000 0.000 0.000
Cr 0.000 0.000 0.500
Mo 0.333 0.667 0.289
Mo 0.667 0.333 0.711
O 0.160 0.320 0.358
O 0.160 0.840 0.358
O 0.320 0.160 0.642
O 0.333 0.667 0.071
O 0.667 0.333 0.929
O 0.680 0.840 0.358
O 0.840 0.160 0.642
O 0.840 0.680 0.642

## Properties
total DFT energy (no corrections): -16.96 eV/atom
space-group type: No. 164
energy relative to the elements, uncorrected: -2306 meV/atom

---

> The lowest total DFT energy (no corrections) belongs to which entry?

Mo3W